Record 1
# Y2IrW

A geometry-optimized Y2IrW structure (GGA-PBE, Alexandria via LeMat-Bulk).

a = 4.8760 Å, b = 4.8760 Å, c = 5.9261 Å
α = 98.35°, β = 98.35°, γ = 37.04°
Closest atoms and distances in Å follow each position.
Element x y z (fractional)
1 Y 0.2434 0.2434 0.2432  3 W 2.90-3.04, 3 Ir 2.92-2.96, 2 Y 3.10
2 Y 0.7566 0.7566 0.7568  3 W 2.90-3.04, 3 Ir 2.92-2.96, 2 Y 3.10
3 Ir 0.5000 0.5000 0.0000  6 Y 2.92-2.96, 2 Ir 3.10
4 W 0.0000 0.0000 0.5000  6 Y 2.90-3.04, 2 W 3.10

Values from the calculation:
Total moment ... 0.000 μB per atom
Space-group type ... C2/m (12)
Fermi-level density of states ... 4.06 states/eV per cell
Energy above the most stable polymorph in this dataset ... 1.92 eV/f.u.
E_form ... 0.371 eV/atom

---

Record 2
# YIr2W

A geometry-optimized YIr2W structure (GGA-PBE, Alexandria via LeMat-Bulk).

a = 9.5047 Å, b = 9.5047 Å, c = 9.5047 Å
α = 17.67°, β = 17.67°, γ = 17.67°
Closest atoms and distances in Å follow each position.
Element x y z (fractional)
1 Y 0.0000 0.0000 0.0000  6 Y 2.92, 6 Ir 3.06
2 Ir 0.2425 0.2425 0.2425  3 W 2.71, 6 Ir 2.92
3 Ir 0.7575 0.7575 0.7575  3 W 2.71, 6 Ir 2.92
4 W 0.5000 0.5000 0.5000  6 Ir 2.71, 6 W 2.92

Values from the calculation:
Total moment ... 0.000 μB per atom
Space-group type ... R-3m (166)
Fermi-level density of states ... 2.24 states/eV per cell
Energy above the most stable polymorph in this dataset ... 1.82 eV/f.u.
E_form ... 0.104 eV/atom

---

Record 3
# Zn4IrW

A geometry-optimized Zn4IrW structure (GGA-PBE, Alexandria via LeMat-Bulk).

a = 4.9094 Å, b = 4.9094 Å, c = 4.9094 Å
α = 60.00°, β = 60.00°, γ = 60.00°
Closest atoms and distances in Å follow each position.
Element x y z (fractional)
1 Zn 0.3757 0.3757 0.3757  6 Zn 2.44-2.47
2 Zn 0.3757 0.3757 0.8730  6 Zn 2.44-2.47
3 Zn 0.3757 0.8730 0.3757  6 Zn 2.44-2.47
4 Zn 0.8730 0.3757 0.3757  6 Zn 2.44-2.47
5 Ir 0.0000 0.0000 0.0000  12 Zn 2.88, 4 W 3.01
6 W 0.7500 0.7500 0.7500  12 Zn 2.88, 4 Ir 3.01

Values from the calculation:
Total moment ... 0.000 μB per atom
Space-group type ... F-43m (216)
Fermi-level density of states ... 4.93 states/eV per cell
E_form ... 0.223 eV/atom